# 1
Density functional theory data (GGA-PBE) for crystalline HfThNb at its relaxed geometry.

The space group is F-43m (No. 216) and the conventional cell measures 6.8488, 6.8488 and 6.8488 Å, with angles of 90.00, 90.00 and 90.00 degrees. The asymmetric unit holds Hf at (0.0000, 0.0000, 0.0000), Th at (0.0000, 0.0000, 0.5000) and Nb at (0.2500, 0.2500, 0.2500).

The calculation puts the energy at -8.6163 eV/atom.



# 2
Density functional theory data (GGA-PBE) for crystalline TmTlFeTe3 at its relaxed geometry.

The space group is Cmcm (No. 63) and the conventional cell measures 4.2742, 15.8904 and 11.1989 Å, with angles of 90.00, 90.00 and 90.00 degrees. The asymmetric unit holds Tm at (0.0000, 0.0000, 0.0000), Tl at (0.0000, 0.2434, 0.2500), Fe at (0.0000, 0.4729, 0.7500), Te at (0.0000, 0.0755, 0.7500) and Te at (0.0000, 0.3710, 0.5651).

The calculation puts the energy at -4.7039 eV/atom.



M_tot per entry: 1.6, 15.9 μB/cell